Version 1
# Os3BrN

A relaxed structure of Os3BrN (PBE-GGA, Alexandria via LeMat-Bulk).

As for the total moment: 0.000 μB/cell. Its crystal system is cubic. The density of states at the Fermi level is 0.628 states/eV/atom. The calculation puts the mass density at 15.505 g/cm3.

The space group is Pm-3m (No. 221) and the conventional cell measures 4.144, 4.144 and 4.144 Å, with angles of 90.00, 90.00 and 90.00 degrees. Symmetry generates all atoms from Os at (0.000, 0.000, 0.500), Br at (0.500, 0.500, 0.500) and N at (0.000, 0.000, 0.000).

***

Version 2
# Os3BrN

A relaxed structure of Os3BrN (PBE-GGA, Alexandria via LeMat-Bulk).

As for the total moment: 1.197 μB/cell. Its crystal system is cubic. The density of states at the Fermi level is 2.146 states/eV/atom. The calculation puts the mass density at 11.798 g/cm3.

The space group is Pm-3m (No. 221) and the conventional cell measures 4.539, 4.539 and 4.539 Å, with angles of 90.00, 90.00 and 90.00 degrees. Symmetry generates all atoms from Os at (0.000, 0.000, 0.500), Br at (0.000, 0.000, 0.000) and N at (0.500, 0.500, 0.500).

***

Which structure is the least stable? The one labeled version 2.

***

Version 1
# OsBrN2

A relaxed structure of OsBrN2 (PBE-GGA, Alexandria via LeMat-Bulk).

As for the total moment: 2.127 μB/cell. Its crystal system is trigonal. The density of states at the Fermi level is 0.643 states/eV/atom. The calculation puts the mass density at 9.175 g/cm3.

The space group is R-3m (No. 166, hexagonal axes) and the conventional cell measures 3.1289, 3.1289 and 19.0939 Å, with angles of 90.00, 90.00 and 120.00 degrees. Symmetry generates all atoms from Os at (0.0000, 0.0000, 0.0000), Br at (0.0000, 0.0000, 0.5000) and N at (0.0000, 0.0000, 0.3871).

***

Version 2
# OsBrN2

A relaxed structure of OsBrN2 (PBE-GGA, Alexandria via LeMat-Bulk).

As for the total moment: 0.352 μB/cell. Its crystal system is cubic. The density of states at the Fermi level is 0.754 states/eV/atom. The calculation puts the mass density at 6.681 g/cm3.

The space group is Fd-3m (No. 227, origin choice 2) and the conventional cell measures 8.401, 8.401 and 8.401 Å, with angles of 90.00, 90.00 and 90.00 degrees. Symmetry generates all atoms from Os at (0.125, 0.125, 0.125), Br at (0.125, 0.125, 0.625) and N at (0.000, 0.000, 0.000).

***

Which structure is the least stable? The one labeled version 1.